one | Density functional theory data (PBE) for an optimized crystal structure of KCdHg2Bi.

abc: 5.686 5.686 5.853
angles: 90.00 90.00 90.00
Fractional coordinates of all 5 atoms:
K1 0.500 0.500 0.500
Cd1 0.000 0.000 0.000
Bi1 0.000 0.000 0.500
Hg1 0.000 0.500 0.000
Hg2 0.500 0.000 0.000

Values from the calculation:
M_tot = 0.0 Bohr magnetons per cell

=====

two | Density functional theory data (PBE) for an optimized crystal structure of KCdHg2Bi.

abc: 4.933 4.928 7.409
angles: 109.43 109.45 90.00
Fractional coordinates of all 5 atoms:
K1 0.448 0.448 0.897
Cd1 0.192 0.692 0.383
Hg1 0.684 0.184 0.368
Hg2 0.058 0.058 0.116
Bi1 0.830 0.830 0.660

Values from the calculation:
M_tot = 0.0 Bohr magnetons per cell

=====

Order of stability, best first: two, one

=====

one | Density functional theory data (PBE) for an optimized crystal structure of LaCdHgBi.

abc: 4.580 4.784 5.193
angles: 90.00 90.00 90.00
Fractional coordinates of all 4 atoms:
La1 0.000 0.500 0.500
Cd1 0.000 0.000 0.000
Hg1 0.500 0.500 0.000
Bi1 0.500 0.000 0.500

Values from the calculation:
M_tot = 0.0 Bohr magnetons per cell

=====

two | Density functional theory data (PBE) for an optimized crystal structure of LaCdHgBi.

abc: 5.458 5.458 5.458
angles: 60.00 60.00 60.00
Fractional coordinates of all 4 atoms:
Cd1 0.250 0.250 0.250
La1 0.750 0.750 0.750
Bi1 0.000 0.000 0.000
Hg1 0.500 0.500 0.500

Values from the calculation:
M_tot = 0.0 Bohr magnetons per cell

=====

Order of stability, best first: one, two